# 1
Density functional theory data (PBE) for a geometry-optimized PrSm5In4 structure.

The structure in extended XYZ format:
```
10
Lattice="3.605 0.000 0.000 0.000 3.605 0.000 0.000 0.000 22.617" Properties=species:S:1:pos:R:3 pbc="T T T"
Pr 0.000 0.000 0.000
Sm 1.803 1.803 2.684
Sm 1.803 1.803 6.981
Sm 1.803 1.803 11.308
Sm 1.803 1.803 15.636
Sm 1.803 1.803 19.932
In 0.000 0.000 4.808
In 0.000 0.000 9.142
In 0.000 0.000 13.475
In 0.000 0.000 17.809
```

E_form	-0.386	eV per atom
magnetic moment	0.0000	μB/atom
space group	No. 123


# 2
Density functional theory data (PBE) for a geometry-optimized Hf2TiIn3 structure.

The structure in extended XYZ format:
```
6
Lattice="3.718 0.000 0.000 0.000 3.718 0.000 0.000 0.000 9.216" Properties=species:S:1:pos:R:3 pbc="T T T"
Hf 0.000 0.000 1.580
Hf 0.000 0.000 7.636
Ti 0.000 0.000 4.608
In 1.859 1.859 0.000
In 1.859 1.859 3.144
In 1.859 1.859 6.072
```

E_form	-0.011	eV per atom
magnetic moment	0.0000	μB/atom
space group	No. 123
E above lowest polymorph	139.5	meV per atom


# 3
Density functional theory data (PBE) for a geometry-optimized Be8Ag structure.

The structure in extended XYZ format:
```
9
Lattice="-3.520 3.520 1.667 3.520 -3.520 1.667 3.520 3.520 -1.667" Properties=species:S:1:pos:R:3 pbc="T T T"
Be 2.446 0.000 0.000
Be 4.595 0.000 0.000
Be 2.259 2.259 0.000
Be 1.261 -1.261 1.667
Be 0.000 2.446 0.000
Be 0.000 4.595 0.000
Be -1.261 1.261 1.667
Be 1.261 1.261 1.667
Ag 0.000 0.000 0.000
```

E_form	0.116	eV per atom
magnetic moment	0.0000	μB/atom
space group	No. 139


Please write out number 1 again, unchanged.
Density functional theory data (PBE) for a geometry-optimized PrSm5In4 structure.

The structure in extended XYZ format:
```
10
Lattice="3.605 0.000 0.000 0.000 3.605 0.000 0.000 0.000 22.617" Properties=species:S:1:pos:R:3 pbc="T T T"
Pr 0.000 0.000 0.000
Sm 1.803 1.803 2.684
Sm 1.803 1.803 6.981
Sm 1.803 1.803 11.308
Sm 1.803 1.803 15.636
Sm 1.803 1.803 19.932
In 0.000 0.000 4.808
In 0.000 0.000 9.142
In 0.000 0.000 13.475
In 0.000 0.000 17.809
```

E_form	-0.386	eV per atom
magnetic moment	0.0000	μB/atom
space group	No. 123